A plane-wave DFT calculation with GGA-PBE was carried out for ReSiSe after structural relaxation.

```
data_ReSiSe
_chemical_formula_sum 'Re4 Si4 Se4'
_symmetry_space_group_name_H-M 'F -4 3 m'
_symmetry_Int_Tables_number 216
_symmetry_space_group_name_Hall 'F -4 2 3'
_cell_length_a 5.974
_cell_length_b 5.974
_cell_length_c 5.974
_cell_angle_alpha 90.00
_cell_angle_beta 90.00
_cell_angle_gamma 90.00
loop_
_atom_site_label
_atom_site_type_symbol
_atom_site_fract_x
_atom_site_fract_y
_atom_site_fract_z
Re1 Re 0.000 0.000 0.000
Si1 Si 0.250 0.250 0.250
Se1 Se 0.250 0.250 0.750
```

* energy relative to the elements, uncorrected: 0.423 eV/atom
* E above lowest polymorph: 0.245 eV per atom
* DFT total energy: -80.3 eV per cell
* total magnetic moment: 0.000 Bohr magnetons per cell

A plane-wave DFT calculation with GGA-PBE was carried out for BaTl2OsO6 after structural relaxation.

```
data_BaTl2OsO6
_chemical_formula_sum 'Ba1 Tl2 Os1 O6'
_symmetry_space_group_name_H-M 'P -3 m 1'
_symmetry_Int_Tables_number 164
_symmetry_space_group_name_Hall '-P 3 2"'
_cell_length_a 6.3416
_cell_length_b 6.3416
_cell_length_c 6.6453
_cell_angle_alpha 90.00
_cell_angle_beta 90.00
_cell_angle_gamma 120.00
loop_
_atom_site_label
_atom_site_type_symbol
_atom_site_fract_x
_atom_site_fract_y
_atom_site_fract_z
Ba1 Ba 0.0000 0.0000 0.0000
Tl1 Tl 0.3333 0.6667 0.4602
Os1 Os 0.0000 0.0000 0.5000
O1 O 0.1395 0.2789 0.6668
```

* energy relative to the elements, uncorrected: -1.239 eV/atom
* DFT total energy: -60.0 eV per cell
* total magnetic moment: 0.000 Bohr magnetons per cell

A plane-wave DFT calculation with GGA-PBE was carried out for MgZn5Pd after structural relaxation.

```
data_MgZn5Pd
_chemical_formula_sum 'Mg2 Zn10 Pd2'
_symmetry_space_group_name_H-M 'C m m m'
_symmetry_Int_Tables_number 65
_symmetry_space_group_name_Hall '-C 2 2'
_cell_length_a 5.188
_cell_length_b 8.281
_cell_length_c 5.448
_cell_angle_alpha 90.00
_cell_angle_beta 90.00
_cell_angle_gamma 90.00
loop_
_atom_site_label
_atom_site_type_symbol
_atom_site_fract_x
_atom_site_fract_y
_atom_site_fract_z
Mg1 Mg 0.000 0.000 0.000
Zn1 Zn 0.000 0.000 0.500
Zn2 Zn 0.250 0.250 0.254
Pd1 Pd 0.000 0.500 0.500
```

* formation energy from the elements: -0.13 eV/atom
* E above lowest polymorph: 0.013 eV per atom
* DFT total energy: -28.1 eV per cell
* total magnetic moment: 0.000 Bohr magnetons per cell

A plane-wave DFT calculation with GGA-PBE was carried out for CrInCl4 after structural relaxation.

```
data_CrInCl4
_chemical_formula_sum 'Cr4 In4 Cl16'
_symmetry_space_group_name_H-M 'F -4 3 m'
_symmetry_Int_Tables_number 216
_symmetry_space_group_name_Hall 'F -4 2 3'
_cell_length_a 8.527
_cell_length_b 8.527
_cell_length_c 8.527
_cell_angle_alpha 90.00
_cell_angle_beta 90.00
_cell_angle_gamma 90.00
loop_
_atom_site_label
_atom_site_type_symbol
_atom_site_fract_x
_atom_site_fract_y
_atom_site_fract_z
Cr1 Cr 0.000 0.000 0.000
In1 In 0.250 0.250 0.750
Cl1 Cl 0.125 0.125 0.375
```

* energy relative to the elements, uncorrected: 0.359 eV/atom
* E above lowest polymorph: 1.369 eV per atom
* DFT total energy: -70.4 eV per cell
* total magnetic moment: 26.413 Bohr magnetons per cell